This record from Alexandria via LeMat-Bulk describes an optimized crystal structure of K2CuNiBr6. The functional is PBE-GGA.

Computed properties:
Calculated density   4.1 g cm⁻³
N(E_F)   1.29 states/eV/f.u.
Electronic total energy   -122.33 eV per cell
Formation energy (no corrections)   -0.847 eV per atom

a b c (Å): 10.246 10.358 10.385
angles (deg): 90.00 90.00 90.00
Space group Fmmm (No. 69)
Unique sites:
K 0.250 0.250 0.250
Cu 0.000 0.000 0.000
Ni 0.000 0.000 0.500
Br 0.000 0.000 0.265
Br 0.000 0.236 0.500
Br 0.236 0.000 0.000